<i>
Ba2ScFe PBEsol optimized geometry; total moment = 2.03 μB per cell
1.0
0.0000 3.8824 3.8824
3.8824 0.0000 3.8824
3.8824 3.8824 0.0000
Ba Sc Fe
2 1 1
Cartesian
0.0000 0.0000 0.0000
1.9412 1.9412 1.9412
5.8236 5.8236 5.8236
3.8824 3.8824 3.8824

---

<ii>
Ba2ScFe PBEsol optimized geometry; total moment = 2.66 μB per cell
1.0
1.8244 1.0533 10.7078
-1.8244 1.0533 10.7078
0.0000 -2.1067 10.7078
Ba Sc Fe
2 1 1
Cartesian
0.0000 0.0000 7.6207
0.0000 0.0000 24.5025
0.0000 0.0000 0.0000
0.0000 0.0000 16.0616

---

In terms of stability, <i> leads; the second structure lies 56 meV per atom higher.

---

<i>
BaFeSe2 PBEsol optimized geometry; total moment = 3.82 μB per cell
1.0
0.0000 3.5965 3.5965
3.5965 0.0000 3.5965
3.5965 3.5965 0.0000
Ba Fe Se
1 1 2
Cartesian
0.0000 0.0000 0.0000
5.3947 5.3947 5.3947
1.7982 1.7982 1.7982
3.5965 3.5965 3.5965

---

<ii>
BaFeSe2 PBEsol optimized geometry; total moment = 3.57 μB per cell
1.0
5.1148 0.0000 0.0000
0.0000 5.1148 0.0000
0.0000 0.0000 3.6868
Ba Fe Se
1 1 2
Cartesian
0.0000 0.0000 0.0000
2.5574 2.5574 0.0000
0.0000 2.5574 1.8434
2.5574 0.0000 1.8434

---

In terms of stability, <ii> leads; the second structure lies 417 meV per atom higher.